Dy8Ga2Ru after structural relaxation. Source: the Alexandria database, functional PBE.

- Polymorph energy (0 for the lowest one): 106 meV/atom
- Symmetry: Immm, No. 71
- Calculated formation energy: -0.1952 eV/atom

Unit cell a=4.835 b=8.361 c=8.568 alpha=119.21 beta=106.39 gamma=90.00
Element x y z (fractional)
Dy 0.000 0.325 0.000
Dy 0.123 0.122 0.245
Ga 0.807 0.307 0.614
Dy 0.342 0.117 0.684
Ga 0.193 0.693 0.386
Dy 0.658 0.883 0.316
Dy 0.877 0.878 0.755
Ru 0.500 0.000 0.000
Dy 0.000 0.675 0.000
Dy 0.342 0.567 0.684
Dy 0.658 0.433 0.316